A relaxed structure of Sn2MoPd. Source: Alexandria via LeMat-Bulk, functional PBE.

Cell and atoms, written as extended XYZ:
```
4
Lattice="0.3260 -0.1395 4.7021 1.2298 3.8719 2.3940 -3.1883 2.2443 2.6520" Properties=species:S:1:pos:R:3 pbc="T T T"
Sn -0.4081 1.4942 2.4370
Sn -1.2244 4.4825 7.3111
Pd -0.8163 2.9883 4.8741
Mo 0.0000 0.0000 0.0000
```

The space-group type is Fm-3m, No. 225. Its formation energy is 8 kJ per mole of atoms. For the energy relative to the lowest polymorph listed for this composition, the calculation gives 0.0 meV/atom. The calculation puts the total energy at -23.7 eV/cell. Its crystal system is cubic. The value obtained for the magnetic moment is 0.0 Bohr magnetons per cell.